[1]
LiTaHg2 after structural relaxation, computed with PBE.

a b c (Å): 3.0102 3.0102 8.3100
angles (deg): 90.00 90.00 90.00
Space group P4mm (No. 99)
Symmetry-distinct sites (fractional):
Li1 0.0000 0.0000 0.0000
Ta1 0.5000 0.5000 0.2404
Hg1 0.0000 0.0000 0.4983
Hg2 0.5000 0.5000 0.8009

- density of states at the Fermi level (states/eV/f.u.) = 2.259
- magnetic moment (μB/atom) = 0.00
- total DFT energy (no corrections) (eV/atom) = -3.327
- crystal system = tetragonal
- calculated formation energy (eV per atom) = 0.266
- energy relative to the lowest polymorph listed for this composition (meV/atom) = 171


[2]
LiTaHg after structural relaxation, computed with PBE.

a b c (Å): 6.2695 6.2695 6.2695
angles (deg): 90.00 90.00 90.00
Space group F-43m (No. 216)
Symmetry-distinct sites (fractional):
Li1 0.0000 0.0000 0.0000
Ta1 0.0000 0.0000 0.5000
Hg1 0.2500 0.2500 0.2500

- density of states at the Fermi level (states/eV/f.u.) = 0.221
- magnetic moment (μB/atom) = 0.00
- total DFT energy (no corrections) (eV/atom) = -3.943
- crystal system = cubic
- calculated formation energy (eV per atom) = 0.747
- energy relative to the lowest polymorph listed for this composition (meV/atom) = 719


[3]
LiTaHg2 after structural relaxation, computed with PBE.

a b c (Å): 5.1450 2.8875 5.7986
angles (deg): 90.00 110.21 90.00
Space group P2/m (No. 10)
Symmetry-distinct sites (fractional):
Li1 0.0000 0.0000 0.0000
Ta1 0.5000 0.5000 0.5000
Hg1 0.0000 0.0000 0.5000
Hg2 0.5000 0.5000 0.0000

- density of states at the Fermi level (states/eV/f.u.) = 2.684
- magnetic moment (μB/atom) = 0.00
- total DFT energy (no corrections) (eV/atom) = -3.323
- crystal system = monoclinic
- calculated formation energy (eV per atom) = 0.270
- energy relative to the lowest polymorph listed for this composition (meV/atom) = 175


[4]
LiTaHg after structural relaxation, computed with PBE.

a b c (Å): 4.4221 3.9338 12.5438
angles (deg): 90.00 90.09 90.00
Space group C2/m (No. 12)
Symmetry-distinct sites (fractional):
Li1 0.2504 0.0000 0.0824
Ta1 0.2484 0.5000 0.5861
Hg1 0.2492 0.0000 0.7715

- density of states at the Fermi level (states/eV/f.u.) = 1.910
- magnetic moment (μB/atom) = 0.00
- total DFT energy (no corrections) (eV/atom) = -4.653
- crystal system = monoclinic
- calculated formation energy (eV per atom) = 0.036
- energy relative to the lowest polymorph listed for this composition (meV/atom) = 8